Here is an optimized crystal structure of PuTl2Zn2Se4 from the Alexandria database. Energies are from GGA-PBE.

Structure (POSCAR):
```
PuTl2Zn2Se4
1.0
4.1443 0.0000 0.0000
0.0000 7.9673 0.5310
-2.0721 -2.6691 7.2679
Pu Tl Zn Se
1 2 2 4
Direct
0.0000 0.0000 0.0000
0.1270 0.5457 0.2540
0.8730 0.4543 0.7460
0.6710 0.9788 0.3420
0.3290 0.0212 0.6580
0.2031 0.1719 0.4063
0.7969 0.8281 0.5937
0.5230 0.7556 0.0460
0.4770 0.2444 0.9540
```

Computed properties:
D(E_F): 12.7 states/eV/f.u.
formation energy without anion corrections: -715 meV per atom
symmetry: No. 12
magnetization: 0.65 μB/atom